No. 1
Computed, not measured: CdHF after structural relaxation at the PBE level of DFT.

The structure in POSCAR format:
```
CdHF
1.0
3.180 0.000 0.000
0.000 4.395 0.000
-0.246 0.000 6.488
Cd H F
2 2 2
Direct
0.241 0.250 0.290 Cd
0.759 0.750 0.710 Cd
0.269 0.750 0.861 H
0.731 0.250 0.139 H
0.245 0.750 0.417 F
0.755 0.250 0.583 F
```

Values from the calculation:
electronic total energy	-18.3	eV for the cell shown
calculated density	4.85	g/cm3
M_tot	0.000	μB per formula unit

***

No. 2
Computed, not measured: CdHF2 after structural relaxation at the PBE level of DFT.

The structure in POSCAR format:
```
CdHF2
1.0
6.192 0.000 0.000
0.000 3.577 0.000
-2.171 0.000 6.348
Cd H F
2 2 4
Direct
0.250 0.250 0.000 Cd
0.750 0.750 0.000 Cd
0.248 0.750 0.496 H
0.752 0.250 0.504 H
0.029 0.750 0.844 F
0.472 0.750 0.156 F
0.528 0.250 0.844 F
0.971 0.250 0.156 F
```

Values from the calculation:
electronic total energy	-24.3	eV for the cell shown
calculated density	3.58	g/cm3
M_tot	1.000	μB per formula unit

***

No. 3
Computed, not measured: CdH2F4 after structural relaxation at the PBE level of DFT.

The structure in POSCAR format:
```
CdH2F4
1.0
2.064 1.192 5.292
-2.064 1.192 5.292
0.000 -2.383 5.292
Cd H F
1 2 4
Direct
0.000 0.000 0.000 Cd
0.205 0.205 0.205 H
0.795 0.795 0.795 H
0.139 0.139 0.139 F
0.288 0.288 0.288 F
0.712 0.712 0.712 F
0.861 0.861 0.861 F
```

Values from the calculation:
electronic total energy	-27.6	eV for the cell shown
calculated density	4.05	g/cm3
M_tot	0.000	μB per formula unit

***

No. 4
Computed, not measured: CdHF3 after structural relaxation at the PBE level of DFT.

The structure in POSCAR format:
```
CdHF3
1.0
4.314 0.000 0.000
0.000 4.314 0.000
0.000 0.000 4.314
Cd H F
1 1 3
Direct
0.000 0.000 0.000 Cd
0.500 0.500 0.500 H
0.000 0.000 0.500 F
0.000 0.500 0.000 F
0.500 0.000 0.000 F
```

Values from the calculation:
electronic total energy	-14.1	eV for the cell shown
calculated density	3.52	g/cm3
M_tot	0.602	μB per formula unit

***

No. 5
Computed, not measured: CdHF after structural relaxation at the PBE level of DFT.

The structure in POSCAR format:
```
CdHF
1.0
3.403 0.000 0.000
-0.280 5.459 0.000
-0.522 -2.468 6.259
Cd H F
2 2 2
Direct
0.238 0.223 0.033 Cd
0.762 0.777 0.967 Cd
0.467 0.067 0.529 H
0.533 0.933 0.471 H
0.232 0.472 0.821 F
0.768 0.528 0.179 F
```

Values from the calculation:
electronic total energy	-18.6	eV for the cell shown
calculated density	3.78	g/cm3
M_tot	0.000	μB per formula unit

***

No. 6
Computed, not measured: Cd2HF8 after structural relaxation at the PBE level of DFT.

The structure in POSCAR format:
```
Cd2HF8
1.0
3.960 -4.162 0.000
3.960 4.162 0.000
-1.451 0.000 4.150
Cd H F
2 1 8
Direct
0.239 0.761 0.000 Cd
0.761 0.239 0.000 Cd
0.500 0.500 0.500 H
0.087 0.087 0.246 F
0.126 0.366 0.827 F
0.361 0.639 0.500 F
0.366 0.126 0.827 F
0.634 0.874 0.173 F
0.639 0.361 0.500 F
0.874 0.634 0.173 F
0.913 0.913 0.754 F
```

Values from the calculation:
electronic total energy	-34.5	eV for the cell shown
calculated density	4.59	g/cm3
M_tot	1.090	μB per formula unit

***

No. 7
Computed, not measured: HfCdH2F after structural relaxation at the PBE level of DFT.

The structure in POSCAR format:
```
HfCdH2F
1.0
3.754 0.000 0.000
0.000 3.754 0.000
0.000 0.000 5.939
Hf Cd H F
1 1 2 1
Direct
0.000 0.000 0.000 Hf
0.000 0.000 0.500 Cd
0.000 0.500 0.000 H
0.500 0.000 0.000 H
0.500 0.500 0.500 F
```

Values from the calculation:
electronic total energy	-20.6	eV for the cell shown
calculated density	6.19	g/cm3
M_tot	0.000	μB per formula unit

***

No. 8
Computed, not measured: CdHg2HF6 after structural relaxation at the PBE level of DFT.

The structure in POSCAR format:
```
CdHg2HF6
1.0
5.471 0.000 0.000
0.000 4.043 0.000
-2.623 0.000 12.573
Cd Hg H F
2 4 2 12
Direct
0.000 0.000 0.000 Cd
0.000 0.500 0.500 Cd
0.302 0.211 0.276 Hg
0.302 0.289 0.776 Hg
0.698 0.711 0.224 Hg
0.698 0.789 0.724 Hg
0.500 0.000 0.500 H
0.500 0.500 0.000 H
0.107 0.693 0.339 F
0.107 0.807 0.839 F
0.257 0.742 0.635 F
0.257 0.758 0.135 F
0.335 0.179 0.475 F
0.335 0.321 0.975 F
0.665 0.679 0.025 F
0.665 0.821 0.525 F
0.743 0.242 0.865 F
0.743 0.258 0.365 F
0.893 0.193 0.161 F
0.893 0.307 0.661 F
```

Values from the calculation:
electronic total energy	-62.6	eV for the cell shown
calculated density	7.51	g/cm3
M_tot	0.000	μB per formula unit

***

No. 9
Computed, not measured: CdInHF2 after structural relaxation at the PBE level of DFT.

The structure in POSCAR format:
```
CdInHF2
1.0
4.208 0.000 0.000
0.000 4.208 0.000
0.000 0.000 6.197
Cd In H F
1 1 1 2
Direct
0.000 0.000 0.000 Cd
0.000 0.000 0.500 In
0.500 0.500 0.000 H
0.000 0.500 0.500 F
0.500 0.000 0.500 F
```

Values from the calculation:
electronic total energy	-14.5	eV for the cell shown
calculated density	4.03	g/cm3
M_tot	0.000	μB per formula unit

***

No. 10
Computed, not measured: KCdHF2 after structural relaxation at the PBE level of DFT.

The structure in POSCAR format:
```
KCdHF2
1.0
4.675 0.000 0.000
0.000 4.675 0.000
0.000 0.000 3.728
K Cd H F
1 1 1 2
Direct
0.000 0.000 0.000 K
0.500 0.500 0.500 Cd
0.500 0.500 0.000 H
0.000 0.500 0.500 F
0.500 0.000 0.500 F
```

Values from the calculation:
electronic total energy	-17.6	eV for the cell shown
calculated density	3.88	g/cm3
M_tot	0.000	μB per formula unit

***

No. 11
Computed, not measured: KCdH2F after structural relaxation at the PBE level of DFT.

The structure in POSCAR format:
```
KCdH2F
1.0
5.260 0.000 0.000
0.000 5.260 0.000
0.000 0.000 4.023
K Cd H F
1 1 2 1
Direct
0.000 0.000 0.000 K
0.500 0.500 0.000 Cd
0.000 0.500 0.500 H
0.500 0.000 0.500 H
0.500 0.500 0.500 F
```

Values from the calculation:
electronic total energy	-10.4	eV for the cell shown
calculated density	2.57	g/cm3
M_tot	0.000	μB per formula unit

***

No. 12
Computed, not measured: K2CdH2F2 after structural relaxation at the PBE level of DFT.

The structure in POSCAR format:
```
K2CdH2F2
1.0
-1.955 1.955 7.549
1.955 -1.955 7.549
1.955 1.955 -7.549
K Cd H F
2 1 2 2
Direct
0.157 0.157 0.000 K
0.843 0.843 0.000 K
0.500 0.500 0.000 Cd
0.000 0.500 0.500 H
0.500 0.000 0.500 H
0.334 0.334 0.000 F
0.666 0.666 0.000 F
```

Values from the calculation:
electronic total energy	-23.5	eV for the cell shown
calculated density	3.32	g/cm3
M_tot	0.000	μB per formula unit